The following is a GGA-PBEsol calculation of an optimized crystal structure of Sc2C, from Alexandria via LeMat-Bulk.

```
data_Sc2C
_cell_length_a 3.634
_cell_length_b 3.634
_cell_length_c 6.470
_cell_angle_alpha 90.00
_cell_angle_beta 90.00
_cell_angle_gamma 90.00
_space_group_name_H-M_alt 'P 4/n m m'
_space_group_IT_number 129
loop_
_space_group_symop_operation_xyz
'x,y,z'
'-x,-y,-z'
'-y+1/2,x,z'
'y+1/2,-x,-z'
'-x+1/2,-y+1/2,z'
'x+1/2,y+1/2,-z'
'y,-x+1/2,z'
'-y,x+1/2,-z'
'x+1/2,-y,-z'
'-x+1/2,y,z'
'-y,-x,-z'
'y,x,z'
'-x,y+1/2,-z'
'x,-y+1/2,z'
'y+1/2,x+1/2,-z'
'-y+1/2,-x+1/2,z'
loop_
_atom_site_label
_atom_site_fract_x
_atom_site_fract_y
_atom_site_fract_z
_atom_site_occupancy
Sc1 0.250 0.250 0.124 1
Sc2 0.250 0.750 0.500 1
C1 0.250 0.250 0.769 1
```

Values from the calculation:
Total magnetization (μB per cell): 0.00
Density (g/cm3): 4.0
Energy relative to the elements (eV/atom): -0.0342
E (eV/cell): -45.9
D(E_F) (states/eV/f.u.): 2.541